Record 1
A plane-wave DFT calculation with GGA-PBE was carried out for an optimized crystal structure of BaMnCdRu2.

For the formation enthalpy at 0 K, the calculation gives 1.032 eV per atom. Its density of states at the Fermi level is 1.315 states/eV per atom. For the spin magnetization, the calculation gives 0.2 μB per formula unit.

The space group is P4/mmm (No. 123) and the conventional cell measures 4.5715, 4.5715 and 5.3905 Å, with angles of 90.00, 90.00 and 90.00 degrees. The asymmetric unit holds Ba at (0.0000, 0.0000, 0.0000), Mn at (0.0000, 0.0000, 0.5000), Cd at (0.5000, 0.5000, 0.0000) and Ru at (0.0000, 0.5000, 0.5000).

Record 2
A plane-wave DFT calculation with GGA-PBE was carried out for an optimized crystal structure of BaMnCd2S4.

The uncorrected formation energy comes out at -0.880 eV per atom. For the spin magnetization, the calculation gives 5.0 μB per formula unit.

The space group is Cmcm (No. 63) and the conventional cell measures 4.0522, 13.6203 and 13.6175 Å, with angles of 90.00, 90.00 and 90.00 degrees. The asymmetric unit holds Ba at (0.0000, 0.1184, 0.2500), Mn at (0.0000, 0.1533, 0.7500), Cd at (0.0000, 0.3734, 0.0475), S at (0.0000, 0.0000, 0.0000), S at (0.0000, 0.2590, 0.6134) and S at (0.0000, 0.4406, 0.2500).

Record 3
A plane-wave DFT calculation with GGA-PBE was carried out for an optimized crystal structure of Ba3Mn2CdS6.

The uncorrected formation energy comes out at -1.067 eV per atom. Its density of states at the Fermi level is 0.129 states/eV per atom. For the spin magnetization, the calculation gives 10.0 μB per formula unit.

The space group is P-3m1 (No. 164) and the conventional cell measures 7.3537, 7.3537 and 7.8565 Å, with angles of 90.00, 90.00 and 120.00 degrees. The asymmetric unit holds Ba at (0.0000, 0.0000, 0.0000), Ba at (0.3333, 0.6667, 0.6201), Mn at (0.3333, 0.6667, 0.1861), Cd at (0.0000, 0.0000, 0.5000) and S at (0.1680, 0.3360, 0.2922).

Record 4
A plane-wave DFT calculation with GGA-PBE was carried out for an optimized crystal structure of BaMnCd2Se4.

The uncorrected formation energy comes out at -0.819 eV per atom. Its density of states at the Fermi level is 0.013 states/eV per atom. For the spin magnetization, the calculation gives 5.0 μB per formula unit.

The space group is Cmcm (No. 63) and the conventional cell measures 4.2219, 14.1520 and 14.2927 Å, with angles of 90.00, 90.00 and 90.00 degrees. The asymmetric unit holds Ba at (0.0000, 0.1224, 0.2500), Mn at (0.0000, 0.1522, 0.7500), Cd at (0.0000, 0.3743, 0.0515), Se at (0.0000, 0.0000, 0.0000), Se at (0.0000, 0.2588, 0.6118) and Se at (0.0000, 0.4454, 0.2500).

Record 5
A plane-wave DFT calculation with GGA-PBE was carried out for an optimized crystal structure of BaMnCd2Si.

The uncorrected formation energy comes out at 1.921 eV per atom. Its density of states at the Fermi level is 1.519 states/eV per atom. For the spin magnetization, the calculation gives 0.0 μB per formula unit.

The space group is P4/mmm (No. 123) and the conventional cell measures 6.1108, 6.1108 and 4.9270 Å, with angles of 90.00, 90.00 and 90.00 degrees. The asymmetric unit holds Ba at (0.0000, 0.0000, 0.0000), Mn at (0.0000, 0.0000, 0.5000), Cd at (0.0000, 0.5000, 0.0000) and Si at (0.5000, 0.5000, 0.5000).

Record 6
A plane-wave DFT calculation with GGA-PBE was carried out for an optimized crystal structure of Ba4CdMo.

For the formation enthalpy at 0 K, the calculation gives 0.998 eV per atom. Its density of states at the Fermi level is 1.329 states/eV per atom. For the spin magnetization, the calculation gives 3.0 μB per formula unit.

The space group is F-43m (No. 216) and the conventional cell measures 10.2122, 10.2122 and 10.2122 Å, with angles of 90.00, 90.00 and 90.00 degrees. The asymmetric unit holds Ba at (0.1251, 0.1251, 0.1251), Cd at (0.2500, 0.2500, 0.7500) and Mo at (0.0000, 0.0000, 0.5000).

Record 7
A plane-wave DFT calculation with GGA-PBE was carried out for an optimized crystal structure of BaCdMo2.

For the formation enthalpy at 0 K, the calculation gives 1.259 eV per atom. Its density of states at the Fermi level is 1.339 states/eV per atom. For the spin magnetization, the calculation gives 0.0 μB per formula unit.

The space group is Cmmm (No. 65) and the conventional cell measures 6.0898, 10.1501 and 2.8544 Å, with angles of 90.00, 90.00 and 90.00 degrees. The asymmetric unit holds Ba at (0.0000, 0.0000, 0.0000), Cd at (0.0000, 0.5000, 0.0000) and Mo at (0.2500, 0.2500, 0.5000).

Record 8
A plane-wave DFT calculation with GGA-PBE was carried out for an optimized crystal structure of BaCdMo2.

For the formation enthalpy at 0 K, the calculation gives 1.166 eV per atom. Its density of states at the Fermi level is 1.073 states/eV per atom. For the spin magnetization, the calculation gives 0.0 μB per formula unit.

The space group is C2/m (No. 12) and the conventional cell measures 6.1132, 10.4456 and 2.8952 Å, with angles of 90.00, 110.46 and 90.00 degrees. The asymmetric unit holds Ba at (0.0000, 0.0000, 0.0000), Cd at (0.0000, 0.5000, 0.0000) and Mo at (0.2500, 0.2500, 0.5000).

Record 9
A plane-wave DFT calculation with GGA-PBE was carried out for an optimized crystal structure of BaCdMo2.

For the formation enthalpy at 0 K, the calculation gives 1.089 eV per atom. Its density of states at the Fermi level is 0.657 states/eV per atom. For the spin magnetization, the calculation gives 1.3 μB per formula unit.

The space group is I-4m2 (No. 119) and the conventional cell measures 5.0363, 5.0363 and 7.1383 Å, with angles of 90.00, 90.00 and 90.00 degrees. The asymmetric unit holds Ba at (0.0000, 0.0000, 0.0000), Cd at (0.0000, 0.5000, 0.7500), Mo at (0.0000, 0.0000, 0.5000) and Mo at (0.0000, 0.5000, 0.2500).

Record 10
A plane-wave DFT calculation with GGA-PBE was carried out for an optimized crystal structure of BaCdMo3.

Its energy above the lowest structure with this stoichiometry is 0.0 meV per atom. For the formation enthalpy at 0 K, the calculation gives 2.151 eV per atom. Its density of states at the Fermi level is 1.452 states/eV per atom. For the spin magnetization, the calculation gives 8.9 μB per formula unit.

The space group is Pm-3m (No. 221) and the conventional cell measures 5.2227, 5.2227 and 5.2227 Å, with angles of 90.00, 90.00 and 90.00 degrees. The asymmetric unit holds Ba at (0.0000, 0.0000, 0.0000), Cd at (0.5000, 0.5000, 0.5000) and Mo at (0.0000, 0.5000, 0.5000).

Record 11
A plane-wave DFT calculation with GGA-PBE was carried out for an optimized crystal structure of BaCdMo2.

For the formation enthalpy at 0 K, the calculation gives 1.316 eV per atom. Its density of states at the Fermi level is 1.047 states/eV per atom. For the spin magnetization, the calculation gives 0.0 μB per formula unit.

The space group is P4/mmm (No. 123) and the conventional cell measures 4.2567, 4.2567 and 5.0343 Å, with angles of 90.00, 90.00 and 90.00 degrees. The asymmetric unit holds Ba at (0.0000, 0.0000, 0.0000), Cd at (0.5000, 0.5000, 0.0000) and Mo at (0.0000, 0.5000, 0.5000).

Record 12
A plane-wave DFT calculation with GGA-PBE was carried out for an optimized crystal structure of BaCdMo2.

For the formation enthalpy at 0 K, the calculation gives 0.804 eV per atom. Its density of states at the Fermi level is 0.846 states/eV per atom. For the spin magnetization, the calculation gives 0.0 μB per formula unit.

The space group is P4/mmm (No. 123) and the conventional cell measures 3.7594, 3.7594 and 7.3360 Å, with angles of 90.00, 90.00 and 90.00 degrees. The asymmetric unit holds Ba at (0.0000, 0.0000, 0.0000), Cd at (0.0000, 0.0000, 0.5000) and Mo at (0.5000, 0.5000, 0.3508).